[1]
The following is a DFT calculation (PBE) of NbAsSe2S after structural relaxation. Values from VASP.

Cell and atoms, written as Quantum ESPRESSO input:
```
&SYSTEM
  ibrav = 0, nat = 5, ntyp = 4
/
ATOMIC_SPECIES
As 74.92 As.upf
S 32.06 S.upf
Se 78.96 Se.upf
Nb 92.91 Nb.upf
CELL_PARAMETERS angstrom
-1.200 4.500 1.538
-4.329 -1.690 1.566
2.090 -1.035 4.661
ATOMIC_POSITIONS angstrom
As 1.045 -0.518 2.330
S -1.719 0.887 3.882
Se -0.600 2.250 0.769
Se -2.165 -0.845 0.783
Nb 0.000 0.000 0.000
```

Summary:
- Energy relative to the lowest polymorph listed for this composition: 0.0 meV/atom
- Crystal system: tetragonal
- V: 125.3 Å³ per cell
- Raw formation energy: 0.377 eV per atom


[2]
The following is a DFT calculation (PBE) of Na5InO4 after structural relaxation. Values from VASP.

Cell and atoms, written as Quantum ESPRESSO input:
```
&SYSTEM
  ibrav = 0, nat = 20, ntyp = 3
/
ATOMIC_SPECIES
O 16.00 O.upf
Na 22.99 Na.upf
In 114.82 In.upf
CELL_PARAMETERS angstrom
-0.719 1.438 5.298
0.867 -7.098 2.044
7.594 1.135 0.722
ATOMIC_POSITIONS angstrom
O 1.757 -1.834 6.417
Na 1.598 -4.107 5.636
O -0.097 -1.085 2.723
Na 5.312 -0.692 2.389
In 3.670 -1.861 5.514
Na 3.218 1.725 4.625
O 3.608 -0.459 3.958
O 4.021 -3.842 4.932
O 1.754 0.290 0.264
Na 2.780 -4.536 3.089
O 5.292 -1.306 6.754
Na 2.364 -1.133 2.109
Na 5.728 -4.095 3.369
O 0.357 -4.800 3.793
In -0.158 0.317 1.167
Na 6.244 -3.412 6.078
Na 0.293 -3.269 2.056
Na 5.792 0.283 5.014
O 5.813 0.897 0.650
Na 1.147 -0.412 4.572
```

Summary:
- Energy relative to the lowest polymorph listed for this composition: 3.4 meV/atom
- Crystal system: orthorhombic
- V: 317.6 Å³ per cell
- Raw formation energy: -1.403 eV per atom


Looking at density of states at the Fermi level for the records above, in order, we have 0.907, 0.000 states/eV/atom.